# LiOs2Rh (SCAN, PBEsol geometry)
# - Energy relative to the elements: 0.1106 eV per atom
# - Energy above the most stable polymorph in this dataset: 0 meV/atom
# - Calculated volume: 166.9 Å³/cell
# - Density: 14.6 g/cm³
data_LiOs2Rh
_symmetry_space_group_name_H-M 'R 3 m'
_symmetry_Int_Tables_number 160
_symmetry_space_group_name_Hall 'R 3 -2"'
_cell_length_a 2.6928
_cell_length_b 2.6928
_cell_length_c 26.5708
_cell_angle_alpha 90.00
_cell_angle_beta 90.00
_cell_angle_gamma 120.00
loop_
_atom_site_label
_atom_site_type_symbol
_atom_site_fract_x
_atom_site_fract_y
_atom_site_fract_z
Li1 Li 0.0000 0.0000 0.0000
Os1 Os 0.0000 0.0000 0.5014
Os2 Os 0.0000 0.0000 0.7555
Rh1 Rh 0.0000 0.0000 0.2507


# LiOs2Rh (SCAN, PBEsol geometry)
# - Energy relative to the elements: 0.1854 eV per atom
# - Energy above the most stable polymorph in this dataset: 75 meV/atom
# - Calculated volume: 211.8 Å³/cell
# - Density: 15.4 g/cm³
data_LiOs2Rh
_symmetry_space_group_name_H-M 'F -4 3 m'
_symmetry_Int_Tables_number 216
_symmetry_space_group_name_Hall 'F -4 2 3'
_cell_length_a 5.9609
_cell_length_b 5.9609
_cell_length_c 5.9609
_cell_angle_alpha 90.00
_cell_angle_beta 90.00
_cell_angle_gamma 90.00
loop_
_atom_site_label
_atom_site_type_symbol
_atom_site_fract_x
_atom_site_fract_y
_atom_site_fract_z
Li1 Li 0.0000 0.0000 0.0000
Os1 Os 0.0000 0.0000 0.5000
Os2 Os 0.2500 0.2500 0.2500
Rh1 Rh 0.2500 0.2500 0.7500


In μB per formula unit, the magnetization values for the records above are, in order, 0.00, 1.72.